1.
DFT (GGA-PBE) results for a geometry-optimized NaH8Pd5 structure.

abc: 2.966 6.270 7.686
angles: 93.00 90.02 61.80
Sites, in units of the cell vectors:
H (0.329, 0.171, 0.931)
Pd (0.319, 0.181, 0.693)
H (0.310, 0.190, 0.454)
Na (0.500, 0.500, 0.000)
H (0.011, 0.489, 0.280)
Pd (0.000, 0.000, 0.000)
Pd (0.678, 0.322, 0.360)
H (0.015, 0.984, 0.752)
Pd (0.322, 0.678, 0.640)
Pd (0.681, 0.819, 0.307)
H (0.989, 0.511, 0.720)
H (0.690, 0.810, 0.546)
H (0.671, 0.829, 0.069)
H (0.985, 0.016, 0.248)

## Properties
SG   P2/m (10)

***

2.
DFT (GGA-PBE) results for a geometry-optimized Na3H3Pd2 structure.

abc: 3.691 7.439 10.929
angles: 90.00 90.00 104.36
Sites, in units of the cell vectors:
Pd (0.761, 0.521, 0.597)
H (0.734, 0.467, 0.067)
Na (0.618, 0.236, 0.250)
Na (0.100, 0.200, 0.901)
Na (0.382, 0.764, 0.750)
H (0.266, 0.533, 0.567)
Na (0.900, 0.800, 0.099)
Pd (0.239, 0.479, 0.097)
Pd (0.239, 0.479, 0.403)
Na (0.900, 0.800, 0.401)
H (0.266, 0.533, 0.933)
Pd (0.761, 0.521, 0.903)
H (0.793, 0.585, 0.750)
Na (0.100, 0.200, 0.599)
H (0.734, 0.467, 0.433)
H (0.207, 0.415, 0.250)

## Properties
SG   Cmcm (63)

***

3.
DFT (GGA-PBE) results for a geometry-optimized Na3H4Pd4 structure.

abc: 3.566 5.353 8.581
angles: 90.00 90.00 109.46
Sites, in units of the cell vectors:
H (0.039, 0.079, 0.000)
Pd (0.635, 0.269, 0.500)
H (0.621, 0.241, 0.279)
H (0.621, 0.241, 0.721)
Pd (0.091, 0.182, 0.248)
Pd (0.091, 0.182, 0.752)
Na (0.369, 0.737, 0.330)
Na (0.369, 0.737, 0.670)
Pd (0.558, 0.117, 0.000)
Na (0.287, 0.574, 0.000)
H (0.119, 0.237, 0.500)

## Properties
SG   Amm2 (38)

***

4.
DFT (GGA-PBE) results for a geometry-optimized Na2H4Pd structure.

abc: 3.625 3.725 6.224
angles: 107.41 90.00 90.00
Sites, in units of the cell vectors:
H (0.500, 0.000, 0.000)
H (0.000, 0.500, 0.000)
H (0.000, 0.854, 0.709)
H (0.000, 0.146, 0.291)
Na (0.500, 0.632, 0.265)
Pd (0.000, 0.000, 0.000)
Na (0.500, 0.368, 0.735)

## Properties
SG   Cmmm (65)

***

5.
DFT (GGA-PBE) results for a geometry-optimized NaH3Pd3 structure.

abc: 5.382 5.382 5.382
angles: 90.00 90.00 90.00
Sites, in units of the cell vectors:
H (0.750, 0.500, 0.000)
Na (0.000, 0.000, 0.000)
H (0.500, 0.000, 0.750)
Pd (0.000, 0.500, 0.750)
Pd (0.000, 0.500, 0.250)
H (0.500, 0.000, 0.250)
H (0.000, 0.750, 0.500)
Pd (0.750, 0.000, 0.500)
H (0.000, 0.250, 0.500)
Na (0.500, 0.500, 0.500)
Pd (0.250, 0.000, 0.500)
H (0.250, 0.500, 0.000)
Pd (0.500, 0.750, 0.000)
Pd (0.500, 0.250, 0.000)

## Properties
SG   Pm-3n (223)

***

6.
DFT (GGA-PBE) results for a geometry-optimized NaHPd3 structure.

abc: 4.787 5.984 4.877
angles: 90.00 89.04 90.00
Sites, in units of the cell vectors:
Pd (0.260, 0.491, 0.825)
Pd (0.266, 0.250, 0.311)
H (0.089, 0.750, 0.783)
Na (0.235, 0.750, 0.323)
Pd (0.740, 0.991, 0.175)
Pd (0.260, 0.009, 0.825)
Na (0.765, 0.250, 0.677)
Pd (0.734, 0.750, 0.689)
H (0.911, 0.250, 0.217)
Pd (0.740, 0.509, 0.175)

## Properties
SG   P2_1/m (11)

***

7.
DFT (GGA-PBE) results for a geometry-optimized Na2H2Pd3 structure.

abc: 2.887 5.582 7.461
angles: 102.99 104.80 116.06
Sites, in units of the cell vectors:
Na (0.996, 0.810, 0.611)
Na (0.004, 0.190, 0.389)
H (0.657, 0.212, 0.957)
H (0.343, 0.788, 0.043)
Pd (0.045, 0.409, 0.816)
Pd (0.955, 0.591, 0.184)
Pd (0.000, 0.000, 0.000)

## Properties
SG   P-1 (2)

***

8.
DFT (GGA-PBE) results for a geometry-optimized NaH2Pd structure.

abc: 3.497 5.143 9.801
angles: 90.00 90.00 90.00
Sites, in units of the cell vectors:
H (0.562, 0.182, 0.259)
Pd (0.062, 0.575, 0.613)
Pd (0.062, 0.075, 0.887)
H (0.062, 0.883, 0.049)
Na (0.562, 0.579, 0.861)
H (0.062, 0.318, 0.759)
Pd (0.562, 0.425, 0.387)
H (0.562, 0.117, 0.951)
Pd (0.562, 0.925, 0.113)
H (0.062, 0.383, 0.451)
H (0.562, 0.617, 0.549)
Na (0.562, 0.079, 0.639)
Na (0.062, 0.421, 0.139)
Na (0.062, 0.921, 0.361)
H (0.562, 0.682, 0.241)
H (0.062, 0.818, 0.741)

## Properties
SG   Pnma (62)

***

9.
DFT (GGA-PBE) results for a geometry-optimized NaHPd3 structure.

abc: 5.536 5.889 5.536
angles: 106.33 117.06 106.34
Sites, in units of the cell vectors:
Pd (0.357, 0.915, 0.467)
Na (0.350, 0.412, 0.459)
Pd (0.965, 0.583, 0.558)
Na (0.859, 0.907, 0.968)
Pd (0.957, 0.072, 0.577)
Pd (0.448, 0.583, 0.074)
H (0.416, 0.261, 0.845)
Pd (0.851, 0.418, 0.961)
H (0.735, 0.261, 0.526)
Pd (0.468, 0.072, 0.066)

## Properties
SG   Cm (8)

***

10.
DFT (GGA-PBE) results for a geometry-optimized NaHPd3 structure.

abc: 5.807 5.813 5.809
angles: 93.16 121.40 57.71
Sites, in units of the cell vectors:
H (0.617, 0.782, 0.819)
Na (0.109, 0.003, 0.105)
Pd (0.110, 0.499, 0.108)
H (0.102, 0.718, 0.397)
Pd (0.109, 0.001, 0.608)
Pd (0.609, 0.001, 0.107)
Pd (0.609, 0.008, 0.600)
Pd (0.609, 0.499, 0.608)
Pd (0.110, 0.492, 0.615)
Na (0.609, 0.497, 0.111)

## Properties
SG   C2/m (12)

***

11.
DFT (GGA-PBE) results for a geometry-optimized NaHPd3 structure.

abc: 4.726 4.726 11.187
angles: 77.80 77.80 90.00
Sites, in units of the cell vectors:
Pd (0.125, 0.879, 0.750)
Pd (0.629, 0.875, 0.250)
Pd (0.376, 0.376, 0.247)
Pd (0.624, 0.624, 0.753)
H (0.623, 0.123, 0.754)
Pd (0.125, 0.371, 0.750)
Na (0.250, 0.750, 0.500)
Na (0.000, 0.000, 0.000)
Pd (0.121, 0.875, 0.250)
H (0.877, 0.377, 0.246)

## Properties
SG   I-4m2 (119)

***

12.
DFT (GGA-PBE) results for a geometry-optimized Na8H8Pd3 structure.

abc: 4.738 7.228 9.351
angles: 109.01 104.67 90.00
Sites, in units of the cell vectors:
Na (0.204, 0.799, 0.409)
Na (0.393, 0.071, 0.786)
Pd (0.819, 0.808, 0.639)
H (0.176, 0.429, 0.351)
H (0.103, 0.971, 0.207)
Na (0.030, 0.271, 0.059)
Na (0.331, 0.542, 0.663)
H (0.278, 0.189, 0.556)
Na (0.796, 0.201, 0.591)
Na (0.970, 0.729, 0.941)
Pd (0.500, 0.500, 0.000)
H (0.722, 0.811, 0.444)
H (0.522, 0.291, 0.044)
Na (0.669, 0.458, 0.337)
H (0.897, 0.029, 0.793)
H (0.478, 0.709, 0.956)
Na (0.607, 0.929, 0.214)
Pd (0.181, 0.192, 0.361)
H (0.824, 0.571, 0.649)

## Properties
SG   C2/m (12)

***

| no. | energy (eV for the cell shown) |
| --- | --- |
| 1 | -55.513 |
| 2 | -51.634 |
| 3 | -40.258 |
| 4 | -22.670 |
| 5 | -55.837 |
| 6 | -41.226 |
| 7 | -25.650 |
| 8 | -56.984 |
| 9 | -41.889 |
| 10 | -41.891 |
| 11 | -34.711 |
| 12 | -57.370 |